The following is a PBE-GGA calculation of crystalline YOsSN2 at its relaxed geometry, from the Alexandria database.

a = 3.884 Å, b = 3.884 Å, c = 4.906 Å
α = 90.00°, β = 90.00°, γ = 90.00°
Fractional positions:
Y: 0.000 0.000 0.000
Os: 0.500 0.500 0.500
S: 0.500 0.500 0.000
N: 0.000 0.500 0.500
N: 0.500 0.000 0.500

Computed properties:
Offset from the most stable computed form: 0 meV/atom
Density: 7.61 Mg/m³
E: -7.957 eV/atom
Calculated volume: 74 Å³/f.u.
SG: P4/mmm (123)
Raw formation energy: -0.262 eV per atom